PtC2BrF at its PBEsol-relaxed geometry. Source: Alexandria via LeMat-Bulk, functional meta-GGA SCAN.

Cell: 3.903 3.903 4.823 Å, 90.00 90.00 90.00°
Fractional positions:
1 C 0.000 0.500 0.000
2 C 0.500 0.000 0.000
3 Br 0.000 0.000 0.000
4 Pt 0.000 0.000 0.500
5 F 0.500 0.500 0.500

## Properties
Total moment in μB/f.u.: 0.00
N(E_F) in states/eV per cell: 3.01
Uncorrected formation energy in eV per atom: 2.923
Crystal system: tetragonal